Compound: K2RuPb
Source: Alexandria
Functional: SCAN
Structure: single point on PBEsol structure

## Properties
energy of formation from the pure elements: 677 meV per atom
SG: No. 216

a b c (Å): 5.1643 5.1643 5.1643
angles (deg): 60.00 60.00 60.00
Closest atoms and distances in Å follow each position.
Positions (direct):
K 0.7500 0.7500 0.7500  4 Pb 3.16, 4 K 3.16
K 0.0000 0.0000 0.0000  4 K 3.16, 4 Ru 3.16
Ru 0.2500 0.2500 0.2500  4 Pb 3.16, 4 K 3.16
Pb 0.5000 0.5000 0.5000  4 K 3.16, 4 Ru 3.16

***

Compound: CuSb2Pb2
Source: Alexandria
Functional: SCAN
Structure: single point on PBEsol structure

## Properties
raw formation energy: 0.10 eV/atom
SG: No. 127

a b c (Å): 5.7865 6.7573 6.7573
angles (deg): 90.00 90.00 90.00
Closest atoms and distances in Å follow each position.
Positions (direct):
Pb 0.5000 0.2040 0.7040  2 Sb 3.21, 4 Pb 3.44
Pb 0.5000 0.2960 0.2040  2 Sb 3.21, 4 Pb 3.44
Pb 0.5000 0.7040 0.7960  2 Sb 3.21, 4 Pb 3.44
Pb 0.5000 0.7960 0.2960  2 Sb 3.21, 4 Pb 3.44
Cu 0.0000 0.0000 0.0000  4 Sb 2.57
Cu 0.0000 0.5000 0.5000  4 Sb 2.57
Sb 0.0000 0.6516 0.1516  2 Cu 2.57
Sb 0.0000 0.8484 0.6516  2 Cu 2.57
Sb 0.0000 0.3484 0.8484  2 Cu 2.57
Sb 0.0000 0.1516 0.3484  2 Cu 2.57

***

Compound: Ca5Au3
Source: Alexandria
Functional: SCAN
Structure: single point on PBEsol structure

## Properties
energy of formation from the pure elements: -842 meV per atom
energy above the most stable polymorph in this dataset: 0.000 eV per atom
SG: No. 140

a b c (Å): 7.7259 7.7259 9.0129
angles (deg): 115.38 115.38 90.00
Closest atoms and distances in Å follow each position.
Positions (direct):
Ca 0.5256 0.6858 0.7114  5 Au 3.02-3.24
Ca 0.0256 0.5256 0.7114  5 Au 3.02-3.24
Ca 0.5000 0.5000 0.0000  4 Au 3.04
Ca 0.8142 0.9744 0.2886  5 Au 3.02-3.24
Ca 0.3142 0.8142 0.2886  5 Au 3.02-3.24
Ca 0.9744 0.4744 0.2886  5 Au 3.02-3.24
Ca 0.4744 0.3142 0.2886  5 Au 3.02-3.24
Ca 0.6858 0.1858 0.7114  5 Au 3.02-3.24
Ca 0.0000 0.0000 0.0000  4 Au 3.04
Ca 0.1858 0.0256 0.7114  5 Au 3.02-3.24
Au 0.3713 0.8713 0.0000  1 Au 2.81, 8 Ca 3.02-3.12
Au 0.8713 0.6287 0.0000  1 Au 2.81, 8 Ca 3.02-3.12
Au 0.6287 0.1287 0.0000  1 Au 2.81, 8 Ca 3.02-3.12
Au 0.2500 0.2500 0.5000  10 Ca 3.24-3.58
Au 0.1287 0.3713 0.0000  1 Au 2.81, 8 Ca 3.02-3.12
Au 0.7500 0.7500 0.5000  10 Ca 3.24-3.58

***

no.,magnetic moment (μB per formula unit)
1,0.00
2,0.00
3,0.00